# 1
{
  "formula": "SnAsPt",
  "functional": "PBE",
  "state": "relaxed",
  "lattice_angstrom": [[-2.892, -2.474, -5.064], [5.490, -2.526, -1.901], [-1.277, -5.256, 3.297]],
  "species": ["As", "As", "As", "As", "Pt", "Pt", "Pt", "Pt", "Sn", "Sn", "Sn", "Sn"],
  "frac_coords": [[0.121, 0.879, 0.379], [0.379, 0.121, 0.879], [0.621, 0.621, 0.621], [0.879, 0.379, 0.121], [0.981, 0.519, 0.481], [0.019, 0.019, 0.019], [0.481, 0.981, 0.519], [0.519, 0.481, 0.981], [0.373, 0.373, 0.373], [0.127, 0.627, 0.873], [0.873, 0.127, 0.627], [0.627, 0.873, 0.127]],
  "magnetic_moment_mub_per_fu": 0.00,
  "formation_energy_ev_per_atom": -0.40
}


# 2
{
  "formula": "Sn2AsPt",
  "functional": "PBE",
  "state": "relaxed",
  "lattice_angstrom": [[6.215, 0.000, 0.000], [0.000, 6.215, 0.000], [3.108, 3.108, 6.060]],
  "species": ["Sn", "Sn", "Sn", "Sn", "As", "As", "Pt", "Pt"],
  "frac_coords": [[0.875, 0.894, 0.750], [0.106, 0.625, 0.250], [0.644, 0.125, 0.250], [0.375, 0.356, 0.750], [0.250, 0.750, 0.500], [0.500, 0.500, 0.000], [0.750, 0.250, 0.500], [0.000, 0.000, 0.000]],
  "magnetic_moment_mub_per_fu": 0.00,
  "formation_energy_ev_per_atom": -0.12
}


# 3
{
  "formula": "SnAs3Pt",
  "functional": "PBE",
  "state": "relaxed",
  "lattice_angstrom": [[4.973, 0.000, 0.000], [0.000, 4.973, 0.000], [0.000, 0.000, 4.973]],
  "species": ["Sn", "As", "As", "As", "Pt"],
  "frac_coords": [[0.500, 0.500, 0.500], [0.000, 0.500, 0.000], [0.500, 0.000, 0.000], [0.000, 0.000, 0.500], [0.000, 0.000, 0.000]],
  "magnetic_moment_mub_per_fu": 0.00,
  "formation_energy_ev_per_atom": 0.47,
  "e_above_lowest_polymorph_mev_per_atom": 0.0
}


# 4
{
  "formula": "SnAsPt",
  "functional": "PBE",
  "state": "relaxed",
  "lattice_angstrom": [[-6.455, 0.301, 1.368], [-0.128, -6.423, 1.102], [-0.155, -1.512, 6.412]],
  "species": ["Pt", "Pt", "Pt", "Pt", "Sn", "Sn", "Sn", "Sn", "As", "As", "As", "As"],
  "frac_coords": [[0.489, 0.018, 0.251], [0.024, 0.000, 0.750], [0.447, 0.462, 0.904], [0.030, 0.520, 0.106], [0.872, 0.867, 0.208], [0.338, 0.631, 0.275], [0.632, 0.137, 0.781], [0.846, 0.640, 0.726], [0.169, 0.368, 0.728], [0.118, 0.133, 0.318], [0.655, 0.358, 0.266], [0.386, 0.863, 0.686]],
  "magnetic_moment_mub_per_fu": 0.00,
  "formation_energy_ev_per_atom": -0.34
}


# 5
{
  "formula": "SnAsPt",
  "functional": "PBE",
  "state": "relaxed",
  "lattice_angstrom": [[4.503, 0.000, 0.000], [2.251, 3.899, 0.000], [2.251, 1.300, 3.676]],
  "species": ["As", "Sn", "Pt"],
  "frac_coords": [[0.000, 0.000, 0.000], [0.500, 0.500, 0.500], [0.250, 0.250, 0.250]],
  "magnetic_moment_mub_per_fu": 0.00,
  "formation_energy_ev_per_atom": -0.30
}


# 6
{
  "formula": "SnAs2Pt2",
  "functional": "PBE",
  "state": "relaxed",
  "lattice_angstrom": [[-0.746, -2.528, 3.730], [4.445, 0.206, 1.029], [1.061, 2.900, 4.973]],
  "species": ["As", "As", "Pt", "Pt", "Sn"],
  "frac_coords": [[0.634, 0.634, 0.733], [0.366, 0.366, 0.267], [0.750, 0.250, 0.500], [0.250, 0.750, 0.500], [0.000, 0.000, 0.000]],
  "magnetic_moment_mub_per_fu": 0.00,
  "formation_energy_ev_per_atom": -0.11
}


# 7
{
  "formula": "Sn4As2Pt",
  "functional": "PBE",
  "state": "relaxed",
  "lattice_angstrom": [[4.047, 0.121, 0.034], [2.230, 5.765, 2.722], [0.064, -0.811, 7.610]],
  "species": ["As", "As", "Sn", "Sn", "Sn", "Sn", "Pt"],
  "frac_coords": [[0.632, 0.714, 0.589], [0.368, 0.286, 0.411], [0.334, 0.273, 0.052], [0.120, 0.742, 0.351], [0.666, 0.727, 0.948], [0.880, 0.258, 0.649], [0.000, 0.000, 0.000]],
  "magnetic_moment_mub_per_fu": 0.00,
  "formation_energy_ev_per_atom": -0.18
}


# 8
{
  "formula": "Sn4AsPt",
  "functional": "PBE",
  "state": "relaxed",
  "lattice_angstrom": [[-5.240, 2.703, 4.835], [-5.710, 1.517, -4.118], [-0.650, -5.085, 5.058]],
  "species": ["Sn", "Sn", "Sn", "Sn", "Sn", "Sn", "Sn", "Sn", "As", "As", "Pt", "Pt"],
  "frac_coords": [[0.534, 0.132, 0.738], [0.011, 0.739, 0.587], [0.989, 0.261, 0.413], [0.489, 0.413, 0.261], [0.034, 0.738, 0.132], [0.966, 0.262, 0.868], [0.466, 0.868, 0.262], [0.511, 0.587, 0.739], [0.750, 0.954, 0.046], [0.250, 0.046, 0.954], [0.250, 0.367, 0.633], [0.750, 0.633, 0.367]],
  "magnetic_moment_mub_per_fu": 0.00,
  "formation_energy_ev_per_atom": -0.13
}


# 9
{
  "formula": "SnAsPt2W",
  "functional": "PBE",
  "state": "relaxed",
  "lattice_angstrom": [[4.960, 0.000, 0.000], [0.000, 4.785, 0.000], [0.000, 0.000, 4.960]],
  "species": ["Pt", "Pt", "W", "As", "Sn"],
  "frac_coords": [[0.000, 0.000, 0.500], [0.500, 0.000, 0.000], [0.000, 0.000, 0.000], [0.000, 0.500, 0.000], [0.500, 0.500, 0.500]],
  "magnetic_moment_mub_per_fu": 0.00,
  "formation_energy_ev_per_atom": 0.61
}


# 10
{
  "formula": "SrAsPt4",
  "functional": "PBE",
  "state": "relaxed",
  "lattice_angstrom": [[-3.574, -3.896, 1.297], [-0.337, -1.786, 5.131], [-4.364, 1.207, 3.021]],
  "species": ["Pt", "Pt", "Pt", "Pt", "Sr", "As"],
  "frac_coords": [[0.375, 0.375, 0.375], [0.876, 0.375, 0.375], [0.375, 0.375, 0.876], [0.375, 0.876, 0.375], [0.750, 0.750, 0.750], [0.000, 0.000, 0.000]],
  "magnetic_moment_mub_per_fu": 0.00,
  "formation_energy_ev_per_atom": -0.34
}


# 11
{
  "formula": "SrAsPt",
  "functional": "PBE",
  "state": "relaxed",
  "lattice_angstrom": [[-1.487, -0.894, -3.936], [-2.428, -0.820, 3.454], [-7.147, 16.631, -1.076]],
  "species": ["As", "As", "As", "As", "Sr", "Sr", "Sr", "Sr", "Pt", "Pt", "Pt", "Pt"],
  "frac_coords": [[0.667, 0.333, 0.127], [0.333, 0.667, 0.873], [0.333, 0.667, 0.627], [0.667, 0.333, 0.373], [0.000, 0.000, 0.500], [0.000, 0.000, 0.750], [0.000, 0.000, 0.250], [0.000, 0.000, 0.000], [0.667, 0.333, 0.876], [0.333, 0.667, 0.124], [0.667, 0.333, 0.624], [0.333, 0.667, 0.376]],
  "magnetic_moment_mub_per_fu": 0.00,
  "formation_energy_ev_per_atom": -1.03
}


# 12
{
  "formula": "Sr2AsPt",
  "functional": "PBE",
  "state": "relaxed",
  "lattice_angstrom": [[8.191, 0.000, 0.000], [0.000, 8.191, 0.000], [4.095, 4.095, 3.436]],
  "species": ["As", "As", "Sr", "Sr", "Sr", "Sr", "Pt", "Pt"],
  "frac_coords": [[0.500, 0.500, 0.000], [0.250, 0.750, 0.500], [0.375, 0.364, 0.750], [0.875, 0.886, 0.750], [0.114, 0.625, 0.250], [0.636, 0.125, 0.250], [0.750, 0.250, 0.500], [0.000, 0.000, 0.000]],
  "magnetic_moment_mub_per_fu": 0.00,
  "formation_energy_ev_per_atom": -0.55
}


# 13
{
  "formula": "Sr3As4Pt2",
  "functional": "PBE",
  "state": "relaxed",
  "lattice_angstrom": [[-0.531, 0.762, 4.366], [-2.045, -5.645, -1.545], [8.212, -2.169, 1.377]],
  "species": ["As", "As", "As", "As", "Sr", "Sr", "Sr", "Pt", "Pt"],
  "frac_coords": [[0.053, 0.107, 0.378], [0.279, 0.558, 0.939], [0.721, 0.442, 0.061], [0.947, 0.893, 0.622], [0.666, 0.331, 0.665], [0.000, 0.000, 0.000], [0.334, 0.669, 0.335], [0.391, 0.782, 0.715], [0.609, 0.218, 0.285]],
  "magnetic_moment_mub_per_fu": 0.00,
  "formation_energy_ev_per_atom": -0.95,
  "e_above_lowest_polymorph_mev_per_atom": 0.0
}


# 14
{
  "formula": "SrAs3Pt",
  "functional": "PBE",
  "state": "relaxed",
  "lattice_angstrom": [[-4.184, 2.711, 0.731], [-0.887, -0.033, -4.960], [-2.663, -4.247, 0.505]],
  "species": ["As", "As", "As", "Pt", "Sr"],
  "frac_coords": [[0.000, 0.500, 0.000], [0.500, 0.000, 0.000], [0.000, 0.000, 0.500], [0.000, 0.000, 0.000], [0.500, 0.500, 0.500]],
  "magnetic_moment_mub_per_fu": 0.00,
  "formation_energy_ev_per_atom": -0.12,
  "e_above_lowest_polymorph_mev_per_atom": 0.0
}


# 15
{
  "formula": "Sr2AsPt",
  "functional": "PBE",
  "state": "relaxed",
  "lattice_angstrom": [[-4.190, 2.699, -1.396], [-3.472, -2.092, -3.219], [-4.669, -1.371, 1.765]],
  "species": ["Sr", "Sr", "Pt", "As"],
  "frac_coords": [[0.250, 0.250, 0.250], [0.000, 0.000, 0.000], [0.750, 0.750, 0.750], [0.500, 0.500, 0.500]],
  "magnetic_moment_mub_per_fu": 0.00,
  "formation_energy_ev_per_atom": -0.42
}


# 16
{
  "formula": "SrAs2Pt6",
  "functional": "PBE",
  "state": "relaxed",
  "lattice_angstrom": [[4.111, 0.000, 0.000], [0.000, 4.111, 0.000], [0.000, 0.000, 9.880]],
  "species": ["Pt", "Pt", "Pt", "Pt", "Pt", "Pt", "As", "As", "Sr"],
  "frac_coords": [[0.500, 0.000, 0.700], [0.000, 0.000, 0.500], [0.500, 0.500, 0.500], [0.000, 0.500, 0.300], [0.500, 0.000, 0.300], [0.000, 0.500, 0.700], [0.500, 0.500, 0.841], [0.500, 0.500, 0.159], [0.000, 0.000, 0.000]],
  "magnetic_moment_mub_per_fu": 0.00,
  "formation_energy_ev_per_atom": -0.40
}


# 17
{
  "formula": "SrAs3Pt",
  "functional": "PBE",
  "state": "relaxed",
  "lattice_angstrom": [[5.498, 0.000, 0.000], [0.000, 5.498, 0.000], [0.000, 0.000, 5.498]],
  "species": ["As", "As", "As", "Sr", "Pt"],
  "frac_coords": [[0.000, 0.500, 0.000], [0.000, 0.000, 0.500], [0.500, 0.000, 0.000], [0.000, 0.000, 0.000], [0.500, 0.500, 0.500]],
  "magnetic_moment_mub_per_fu": 0.00,
  "formation_energy_ev_per_atom": 1.56,
  "e_above_lowest_polymorph_mev_per_atom": 1680.7
}


# 18
{
  "formula": "Sr3As3Pt2",
  "functional": "PBE",
  "state": "relaxed",
  "lattice_angstrom": [[4.481, 0.000, 0.000], [-2.241, 5.703, 0.000], [0.000, 0.000, 15.185]],
  "species": ["Sr", "Sr", "Sr", "Sr", "Sr", "Sr", "Pt", "Pt", "Pt", "Pt", "As", "As", "As", "As", "As", "As"],
  "frac_coords": [[0.912, 0.824, 0.392], [0.632, 0.263, 0.250], [0.912, 0.824, 0.108], [0.088, 0.176, 0.608], [0.088, 0.176, 0.892], [0.368, 0.737, 0.750], [0.199, 0.397, 0.401], [0.801, 0.603, 0.901], [0.801, 0.603, 0.599], [0.199, 0.397, 0.099], [0.639, 0.277, 0.465], [0.361, 0.723, 0.965], [0.361, 0.723, 0.535], [0.674, 0.349, 0.750], [0.639, 0.277, 0.035], [0.326, 0.651, 0.250]],
  "magnetic_moment_mub_per_fu": 0.00,
  "formation_energy_ev_per_atom": -0.96
}


# 19
{
  "formula": "Sr2AsPt",
  "functional": "PBE",
  "state": "relaxed",
  "lattice_angstrom": [[-3.411, -3.309, -7.059], [-0.706, -1.393, 5.275], [-3.404, 0.550, -0.309]],
  "species": ["Pt", "Sr", "Sr", "As"],
  "frac_coords": [[0.500, 0.500, 0.000], [0.000, 0.000, 0.000], [0.500, 0.000, 0.500], [0.000, 0.500, 0.500]],
  "magnetic_moment_mub_per_fu": 0.00,
  "formation_energy_ev_per_atom": -0.80
}


# 20
{
  "formula": "Sr2AsPt2",
  "functional": "PBE",
  "state": "relaxed",
  "lattice_angstrom": [[-2.044, -2.596, 2.941], [3.895, -2.466, 3.856], [-1.145, 6.685, 8.430]],
  "species": ["Sr", "Sr", "Sr", "Sr", "Pt", "Pt", "Pt", "Pt", "As", "As"],
  "frac_coords": [[0.693, 0.247, 0.367], [0.102, 0.694, 0.102], [0.307, 0.753, 0.633], [0.898, 0.306, 0.898], [0.400, 0.087, 0.113], [0.962, 0.674, 0.402], [0.038, 0.326, 0.598], [0.600, 0.913, 0.887], [0.424, 0.833, 0.319], [0.576, 0.167, 0.681]],
  "magnetic_moment_mub_per_fu": 0.00,
  "formation_energy_ev_per_atom": -0.88,
  "e_above_lowest_polymorph_mev_per_atom": 0.0
}


# 21
{
  "formula": "SrAsPt",
  "functional": "PBE",
  "state": "relaxed",
  "lattice_angstrom": [[4.744, 0.000, 0.000], [2.372, 4.109, 0.000], [2.372, 1.370, 3.874]],
  "species": ["As", "Sr", "Pt"],
  "frac_coords": [[0.500, 0.500, 0.500], [0.000, 0.000, 0.000], [0.750, 0.750, 0.750]],
  "magnetic_moment_mub_per_fu": 0.00,
  "formation_energy_ev_per_atom": -0.56
}


# 22
{
  "formula": "Sr8AsPt2",
  "functional": "PBE",
  "state": "relaxed",
  "lattice_angstrom": [[-5.691, -0.083, 2.713], [-3.509, -4.971, -7.515], [3.691, -4.689, 7.601]],
  "species": ["Sr", "Sr", "Sr", "Sr", "Sr", "Sr", "Sr", "Sr", "As", "Pt", "Pt"],
  "frac_coords": [[0.272, 0.667, 0.333], [0.245, 0.678, 0.838], [0.755, 0.322, 0.162], [0.755, 0.838, 0.160], [0.245, 0.162, 0.840], [0.245, 0.159, 0.322], [0.728, 0.333, 0.667], [0.755, 0.841, 0.678], [0.000, 0.000, 0.000], [0.219, 0.333, 0.667], [0.781, 0.667, 0.333]],
  "magnetic_moment_mub_per_fu": 0.00,
  "formation_energy_ev_per_atom": -0.40
}


# 23
{
  "formula": "Sr4AsPt",
  "functional": "PBE",
  "state": "relaxed",
  "lattice_angstrom": [[0.000, 4.609, 4.609], [4.609, 0.000, 4.609], [4.609, 4.609, 0.000]],
  "species": ["Sr", "Sr", "Sr", "Sr", "Pt", "As"],
  "frac_coords": [[0.375, 0.375, 0.375], [0.375, 0.875, 0.375], [0.375, 0.375, 0.875], [0.875, 0.375, 0.375], [0.000, 0.000, 0.000], [0.750, 0.750, 0.750]],
  "magnetic_moment_mub_per_fu": 0.00,
  "formation_energy_ev_per_atom": 0.43
}


# 24
{
  "formula": "Sr3As2Pt",
  "functional": "PBE",
  "state": "relaxed",
  "lattice_angstrom": [[-2.308, -1.359, -3.647], [10.425, -0.196, -6.524], [1.799, -11.713, 3.227]],
  "species": ["Sr", "Sr", "Sr", "Sr", "Sr", "Sr", "Sr", "Sr", "Sr", "Sr", "Sr", "Sr", "Pt", "Pt", "Pt", "Pt", "As", "As", "As", "As", "As", "As", "As", "As"],
  "frac_coords": [[0.750, 0.623, 0.942], [0.750, 0.551, 0.618], [0.750, 0.307, 0.786], [0.250, 0.693, 0.214], [0.250, 0.051, 0.882], [0.250, 0.123, 0.558], [0.750, 0.193, 0.286], [0.250, 0.807, 0.714], [0.250, 0.377, 0.058], [0.250, 0.449, 0.382], [0.750, 0.949, 0.118], [0.750, 0.877, 0.442], [0.750, 0.865, 0.874], [0.250, 0.135, 0.126], [0.250, 0.365, 0.626], [0.750, 0.635, 0.374], [0.750, 0.509, 0.195], [0.250, 0.009, 0.305], [0.250, 0.690, 0.478], [0.250, 0.810, 0.978], [0.750, 0.310, 0.522], [0.750, 0.991, 0.695], [0.750, 0.190, 0.022], [0.250, 0.491, 0.805]],
  "magnetic_moment_mub_per_fu": 0.00,
  "formation_energy_ev_per_atom": -1.04
}